# 1
DFT (PBE) results for HfTc2As2 after structural relaxation.

Cell: 4.501 4.501 8.794 Å, 90.00 90.00 90.00°
Space group I4/mmm (No. 139)
Unique sites:
Hf: 0.000 0.000 0.000 [2 per cell]
Tc: 0.000 0.000 0.370 [4 per cell]
As: 0.000 0.500 0.250 [4 per cell]

## Properties
E above lowest polymorph: 0.148 eV per atom
Total energy: -8.04 eV/atom
Density: 9.8 g cm⁻³
D(E_F): 0.37 states/eV per atom
Energy of formation: -0.04 eV per atom

# 2
DFT (PBE) results for Hf3TeAs after structural relaxation.

Cell: 4.989 4.989 4.989 Å, 90.00 90.00 90.00°
Space group Pm-3m (No. 221)
Unique sites:
Hf: 0.000 0.000 0.500 [3 per cell]
Te: 0.500 0.500 0.500 [1 per cell]
As: 0.000 0.000 0.000 [1 per cell]

## Properties
E above lowest polymorph: 0.000 eV per atom
E_form (uncorrected): 1.2 eV per formula unit
Total energy: -7.29 eV/atom
Density: 9.9 g cm⁻³
D(E_F): 1.22 states/eV per atom

# 3
DFT (PBE) results for HfTeAs2 after structural relaxation.

Cell: 6.293 6.293 12.752 Å, 90.00 90.00 90.00°
Space group I-42d (No. 122)
Unique sites:
Hf: 0.000 0.000 0.000 [4 per cell]
Te: 0.000 0.000 0.500 [4 per cell]
As: 0.209 0.250 0.125 [8 per cell]

## Properties
E_form (uncorrected): 0.7 eV per formula unit
Total energy: -5.43 eV/atom
Density: 6.0 g cm⁻³
D(E_F): 0.61 states/eV per atom

# 4
DFT (PBE) results for HfTeAs3 after structural relaxation.

Cell: 5.161 5.161 5.161 Å, 90.00 90.00 90.00°
Space group Pm-3m (No. 221)
Unique sites:
Hf: 0.000 0.000 0.000 [1 per cell]
Te: 0.500 0.500 0.500 [1 per cell]
As: 0.000 0.000 0.500 [3 per cell]

## Properties
E above lowest polymorph: 0.000 eV per atom
E_form (uncorrected): 1.5 eV per formula unit
Total energy: -5.10 eV/atom
Density: 6.4 g cm⁻³
D(E_F): 0.97 states/eV per atom